1.
# BaNa2Cd2Au GGA-PBE optimized geometry
# formation enthalpy at 0 K	-0.042	eV/atom
data_BaNa2Cd2Au
_chemical_formula_sum 'Ba2 Na4 Cd4 Au2'
_space_group_name_H-M_alt 'I 4/m m m'
_space_group_IT_number 139
_space_group_name_Hall '-I 4 2'
_cell_length_a 5.7891
_cell_length_b 5.7891
_cell_length_c 12.7258
_cell_angle_alpha 90.00
_cell_angle_beta 90.00
_cell_angle_gamma 90.00
loop_
_atom_site_label
_atom_site_type_symbol
_atom_site_fract_x
_atom_site_fract_y
_atom_site_fract_z
Ba1 Ba 0.0000 0.0000 0.0000
Na1 Na 0.0000 0.5000 0.2500
Cd1 Cd 0.0000 0.0000 0.2890
Au1 Au 0.0000 0.0000 0.5000

***

2.
# Tb3ErTl5 GGA-PBE optimized geometry
# formation enthalpy at 0 K	-0.305	eV/atom
data_Tb3ErTl5
_chemical_formula_sum 'Tb6 Er2 Tl10'
_space_group_name_H-M_alt 'P 63/m c m'
_space_group_IT_number 193
_space_group_name_Hall '-P 6c 2'
_cell_length_a 9.3540
_cell_length_b 9.3540
_cell_length_c 6.5841
_cell_angle_alpha 90.00
_cell_angle_beta 90.00
_cell_angle_gamma 120.00
loop_
_atom_site_label
_atom_site_type_symbol
_atom_site_fract_x
_atom_site_fract_y
_atom_site_fract_z
Tb1 Tb 0.0000 0.3695 0.2500
Er1 Er 0.0000 0.0000 0.0000
Tl1 Tl 0.0000 0.2968 0.7500
Tl2 Tl 0.3333 0.6667 0.0000

***

3.
# TeOsCl GGA-PBE optimized geometry
# final energy	-4.9234	eV/atom
data_TeOsCl
_chemical_formula_sum 'Te4 Os4 Cl4'
_space_group_name_H-M_alt 'F -4 3 m'
_space_group_IT_number 216
_space_group_name_Hall 'F -4 2 3'
_cell_length_a 6.3286
_cell_length_b 6.3286
_cell_length_c 6.3286
_cell_angle_alpha 90.00
_cell_angle_beta 90.00
_cell_angle_gamma 90.00
loop_
_atom_site_label
_atom_site_type_symbol
_atom_site_fract_x
_atom_site_fract_y
_atom_site_fract_z
Te1 Te 0.0000 0.0000 0.0000
Os1 Os 0.2500 0.2500 0.2500
Cl1 Cl 0.0000 0.0000 0.5000

***

4.
# LaPm4Cu GGA-PBE optimized geometry
# formation enthalpy at 0 K	-0.030	eV/atom
data_LaPm4Cu
_chemical_formula_sum 'La1 Pm4 Cu1'
_space_group_name_H-M_alt 'P 4/m m m'
_space_group_IT_number 123
_space_group_name_Hall '-P 4 2'
_cell_length_a 3.6458
_cell_length_b 3.6458
_cell_length_c 13.9840
_cell_angle_alpha 90.00
_cell_angle_beta 90.00
_cell_angle_gamma 90.00
loop_
_atom_site_label
_atom_site_type_symbol
_atom_site_fract_x
_atom_site_fract_y
_atom_site_fract_z
La1 La 0.0000 0.0000 0.0000
Pm1 Pm 0.0000 0.0000 0.3777
Pm2 Pm 0.5000 0.5000 0.1881
Cu1 Cu 0.5000 0.5000 0.5000

***

5.
# Ag2HPt GGA-PBE optimized geometry
# energy relative to the lowest polymorph listed for this composition	0	meV per atom
data_Ag2HPt
_chemical_formula_sum 'Ag4 H2 Pt2'
_space_group_name_H-M_alt 'C 1 m 1'
_space_group_IT_number 8
_cell_length_a 4.2649
_cell_length_b 3.8332
_cell_length_c 6.9847
_cell_angle_alpha 90.00
_cell_angle_beta 107.39
_cell_angle_gamma 90.00
loop_
_space_group_symop_operation_xyz
'x,y,z'
'x,-y,z'
'x+1/2,y+1/2,z'
'x+1/2,-y+1/2,z'
loop_
_atom_site_label
_atom_site_type_symbol
_atom_site_fract_x
_atom_site_fract_y
_atom_site_fract_z
Ag1 Ag 0.0000 0.0000 0.0000
Ag2 Ag 0.1610 0.5000 0.3209
H1 H 0.4444 0.5000 0.6601
Pt1 Pt 0.3621 0.0000 0.6607

***

6.
# BaSrCl GGA-PBE optimized geometry
# energy relative to the lowest polymorph listed for this composition	894	meV per atom
data_BaSrCl
_chemical_formula_sum 'Ba4 Sr4 Cl4'
_space_group_name_H-M_alt 'F -4 3 m'
_space_group_IT_number 216
_space_group_name_Hall 'F -4 2 3'
_cell_length_a 8.6315
_cell_length_b 8.6315
_cell_length_c 8.6315
_cell_angle_alpha 90.00
_cell_angle_beta 90.00
_cell_angle_gamma 90.00
loop_
_atom_site_label
_atom_site_type_symbol
_atom_site_fract_x
_atom_site_fract_y
_atom_site_fract_z
Ba1 Ba 0.0000 0.0000 0.0000
Sr1 Sr 0.2500 0.2500 0.2500
Cl1 Cl 0.2500 0.2500 0.7500

***

7.
# LaNdSb GGA-PBE optimized geometry
# final energy	-5.3264	eV/atom
data_LaNdSb
_chemical_formula_sum 'La2 Nd2 Sb2'
_space_group_name_H-M_alt 'I 4 m m'
_space_group_IT_number 107
_space_group_name_Hall 'I 4 -2'
_cell_length_a 4.2405
_cell_length_b 4.2405
_cell_length_c 10.2341
_cell_angle_alpha 90.00
_cell_angle_beta 90.00
_cell_angle_gamma 90.00
loop_
_atom_site_label
_atom_site_type_symbol
_atom_site_fract_x
_atom_site_fract_y
_atom_site_fract_z
La1 La 0.0000 0.0000 0.0000
Nd1 Nd 0.0000 0.0000 0.3007
Sb1 Sb 0.0000 0.0000 0.6557

***

8.
# K2TaOs GGA-PBE optimized geometry
# formation enthalpy at 0 K	0.702	eV/atom
# energy relative to the lowest polymorph listed for this composition	102	meV per atom
data_K2TaOs
_chemical_formula_sum 'K4 Ta2 Os2'
_space_group_name_H-M_alt 'C 1 m 1'
_space_group_IT_number 8
_cell_length_a 6.5150
_cell_length_b 3.6166
_cell_length_c 11.6034
_cell_angle_alpha 90.00
_cell_angle_beta 99.26
_cell_angle_gamma 90.00
loop_
_space_group_symop_operation_xyz
'x,y,z'
'x,-y,z'
'x+1/2,y+1/2,z'
'x+1/2,-y+1/2,z'
loop_
_atom_site_label
_atom_site_type_symbol
_atom_site_fract_x
_atom_site_fract_y
_atom_site_fract_z
K1 K 0.0000 0.0000 0.0000
K2 K 0.2184 0.0000 0.6297
Ta1 Ta 0.4510 0.0000 0.3418
Os1 Os 0.2467 0.5000 0.2310

***

9.
# BaSbAs4 GGA-PBE optimized geometry
# final energy	-4.2371	eV/atom
data_BaSbAs4
_chemical_formula_sum 'Ba4 Sb4 As16'
_space_group_name_H-M_alt 'F -4 3 m'
_space_group_IT_number 216
_space_group_name_Hall 'F -4 2 3'
_cell_length_a 8.5817
_cell_length_b 8.5817
_cell_length_c 8.5817
_cell_angle_alpha 90.00
_cell_angle_beta 90.00
_cell_angle_gamma 90.00
loop_
_atom_site_label
_atom_site_type_symbol
_atom_site_fract_x
_atom_site_fract_y
_atom_site_fract_z
Ba1 Ba 0.0000 0.0000 0.0000
Sb1 Sb 0.2500 0.2500 0.7500
As1 As 0.1070 0.1070 0.3930

***

10.
# LaZn2FeCl GGA-PBE optimized geometry
# final energy	-3.1093	eV/atom
data_LaZn2FeCl
_chemical_formula_sum 'La1 Zn2 Fe1 Cl1'
_space_group_name_H-M_alt 'P 4/m m m'
_space_group_IT_number 123
_space_group_name_Hall '-P 4 2'
_cell_length_a 5.2989
_cell_length_b 5.2989
_cell_length_c 4.0737
_cell_angle_alpha 90.00
_cell_angle_beta 90.00
_cell_angle_gamma 90.00
loop_
_atom_site_label
_atom_site_type_symbol
_atom_site_fract_x
_atom_site_fract_y
_atom_site_fract_z
La1 La 0.0000 0.0000 0.0000
Zn1 Zn 0.0000 0.5000 0.5000
Fe1 Fe 0.5000 0.5000 0.0000
Cl1 Cl 0.5000 0.5000 0.5000

***

11.
# ZnCo2W GGA-PBE optimized geometry
# formation enthalpy at 0 K	0.204	eV/atom
data_ZnCo2W
_chemical_formula_sum 'Zn1 Co2 W1'
_space_group_name_H-M_alt 'P 4/m m m'
_space_group_IT_number 123
_space_group_name_Hall '-P 4 2'
_cell_length_a 3.8443
_cell_length_b 3.8443
_cell_length_c 3.4056
_cell_angle_alpha 90.00
_cell_angle_beta 90.00
_cell_angle_gamma 90.00
loop_
_atom_site_label
_atom_site_type_symbol
_atom_site_fract_x
_atom_site_fract_y
_atom_site_fract_z
Zn1 Zn 0.0000 0.0000 0.0000
Co1 Co 0.0000 0.5000 0.5000
W1 W 0.5000 0.5000 0.0000

***

12.
# PbIO6 GGA-PBE optimized geometry
# final energy	-4.5307	eV/atom
data_PbIO6
_chemical_formula_sum 'Pb2 I2 O12'
_space_group_name_H-M_alt 'C 1 2/m 1'
_space_group_IT_number 12
_cell_length_a 9.2613
_cell_length_b 5.6633
_cell_length_c 5.4049
_cell_angle_alpha 90.00
_cell_angle_beta 125.21
_cell_angle_gamma 90.00
loop_
_space_group_symop_operation_xyz
'x,y,z'
'-x,-y,-z'
'-x,y,-z'
'x,-y,z'
'x+1/2,y+1/2,z'
'-x+1/2,-y+1/2,-z'
'-x+1/2,y+1/2,-z'
'x+1/2,-y+1/2,z'
loop_
_atom_site_label
_atom_site_type_symbol
_atom_site_fract_x
_atom_site_fract_y
_atom_site_fract_z
Pb1 Pb 0.0000 0.0000 0.0000
I1 I 0.0000 0.5000 0.5000
O1 O 0.0798 0.2662 0.8024
O2 O 0.2283 0.5000 0.5778

***

13.
# Pm12Ga6N GGA-PBE optimized geometry
# final energy	-4.8534	eV/atom
data_Pm12Ga6N
_chemical_formula_sum 'Pm36 Ga18 N3'
_space_group_name_H-M_alt 'R -3'
_space_group_IT_number 148
_space_group_name_Hall '-R 3'
_cell_length_a 11.8868
_cell_length_b 11.8868
_cell_length_c 13.0661
_cell_angle_alpha 90.00
_cell_angle_beta 90.00
_cell_angle_gamma 120.00
loop_
_atom_site_label
_atom_site_type_symbol
_atom_site_fract_x
_atom_site_fract_y
_atom_site_fract_z
Pm1 Pm 0.0353 0.1949 0.3857
Pm2 Pm 0.0363 0.8515 0.8889
Ga1 Ga 0.0051 0.3997 0.2539
N1 N 0.0000 0.0000 0.0000

***

Total magnetization (μB per cell)
0.00 0.00 0.00 0.00 0.00 2.93 0.00 0.00 0.00 0.00 0.02 2.08 0.00
Calculated density (g cm⁻³)
4.7 11.1 9.3 7.0 12.6 2.7 7.3 5.5 5.9 5.2 12.1 6.2 6.8